Record 1
{"formula": "Cd2InPt", "functional": "PBE", "state": "optimized geometry", "delta_e_f_ev_per_atom": -0.102, "energy_ev_per_atom": -2.7543, "space_group": "P2/m (10)", "lattice": [[5.412, 0.000, 0.000], [0.000, 3.019, -0.010], [0.000, -0.110, 4.970]], "species": ["Cd", "Cd", "In", "Pt"], "fractional_positions": [[0.000, 0.991, 0.995], [0.000, 0.509, 0.505], [0.500, 0.250, 0.250], [0.500, 0.750, 0.750]]}

=====

Record 2
{"formula": "Cd2InPt", "functional": "PBE", "state": "optimized geometry", "delta_e_f_ev_per_atom": -0.074, "energy_ev_per_atom": -2.7262, "space_group": "I-42d (122)", "lattice": [[8.612, 0.000, 0.000], [0.000, 8.612, 0.000], [4.306, 4.306, 2.659]], "species": ["In", "In", "Cd", "Cd", "Cd", "Cd", "Pt", "Pt"], "fractional_positions": [[0.500, 0.500, 0.000], [0.250, 0.750, 0.500], [0.696, 0.125, 0.250], [0.375, 0.304, 0.750], [0.875, 0.946, 0.750], [0.054, 0.625, 0.250], [0.000, 0.000, 0.000], [0.750, 0.250, 0.500]]}

=====

Record 3
{"formula": "CdIn2Pt", "functional": "PBE", "state": "optimized geometry", "delta_e_f_ev_per_atom": -0.143, "energy_ev_per_atom": -3.2513, "space_group": "P4mm (99)", "lattice": [[-1.319, -2.892, -0.598], [2.689, -0.905, -1.553], [3.189, -2.951, 7.241]], "species": ["Cd", "Pt", "In", "In"], "fractional_positions": [[0.500, 0.500, 0.708], [0.000, 0.000, 0.498], [0.500, 0.500, 0.298], [0.000, 0.000, 0.995]]}

=====

Record 4
{"formula": "CdInPt", "functional": "PBE", "state": "optimized geometry", "delta_e_f_ev_per_atom": -0.104, "energy_ev_per_atom": -3.3350, "space_group": "P3m1 (156)", "lattice": [[-1.930, 1.490, -2.020], [0.402, -3.133, -0.215], [-5.348, -0.986, 4.381]], "species": ["Pt", "In", "Cd"], "fractional_positions": [[0.333, 0.667, 0.664], [0.667, 0.333, 0.359], [0.000, 0.000, 0.978]]}

=====

Record 5
{"formula": "Cd4In2Pt", "functional": "PBE", "state": "optimized geometry", "delta_e_f_ev_per_atom": 0.075, "energy_ev_per_atom": -2.0930, "space_group": "I4/mmm (139)", "lattice": [[-1.551, -0.171, -5.150], [2.274, -4.849, -0.524], [-5.656, -5.539, -0.925]], "species": ["Cd", "Cd", "Cd", "Cd", "In", "In", "Pt"], "fractional_positions": [[0.187, 0.187, 0.625], [0.813, 0.813, 0.375], [0.500, 0.000, 0.000], [0.000, 0.500, 0.000], [0.390, 0.390, 0.220], [0.610, 0.610, 0.780], [0.000, 0.000, 0.000]]}

=====

Record 6
{"formula": "CdInPt", "functional": "PBE", "state": "optimized geometry", "delta_e_f_ev_per_atom": -0.247, "energy_ev_per_atom": -3.4782, "space_group": "I4mm (107)", "lattice": [[5.160, 0.030, -0.075], [2.623, 4.444, 0.075], [-3.853, -2.305, 2.546]], "species": ["Cd", "In", "Pt"], "fractional_positions": [[0.005, 0.005, 0.000], [0.325, 0.325, 0.000], [0.669, 0.669, 0.000]]}

=====

Record 7
{"formula": "CdIn2Pt", "functional": "PBE", "state": "optimized geometry", "delta_e_f_ev_per_atom": -0.219, "energy_ev_per_atom": -3.3271, "space_group": "Imm2 (44)", "lattice": [[7.014, 1.286, 0.144], [4.016, 5.893, -0.144], [-4.979, -4.413, 2.571]], "species": ["In", "In", "Cd", "Pt"], "fractional_positions": [[0.994, 0.994, 0.000], [0.693, 0.193, 0.500], [0.309, 0.809, 0.500], [0.504, 0.504, 0.000]]}

=====

Record 8
{"formula": "Cd3InPt6", "functional": "PBE", "state": "optimized geometry", "delta_e_f_ev_per_atom": -0.277, "energy_ev_per_atom": -4.4498, "space_group": "P-1 (2)", "lattice": [[4.769, -0.003, 0.010], [-0.013, 7.175, -2.801], [0.024, -0.245, 10.202]], "species": ["Pt", "Pt", "Pt", "Pt", "Pt", "Pt", "Pt", "Pt", "Pt", "Pt", "Pt", "Pt", "Cd", "Cd", "Cd", "Cd", "Cd", "Cd", "In", "In"], "fractional_positions": [[0.751, 0.842, 0.819], [0.749, 0.545, 0.925], [0.251, 0.257, 0.480], [0.251, 0.455, 0.075], [0.251, 0.058, 0.875], [0.251, 0.862, 0.284], [0.749, 0.329, 0.320], [0.749, 0.743, 0.520], [0.249, 0.158, 0.181], [0.749, 0.138, 0.716], [0.251, 0.671, 0.680], [0.749, 0.942, 0.125], [0.249, 0.770, 0.983], [0.249, 0.367, 0.783], [0.751, 0.230, 0.017], [0.751, 0.453, 0.625], [0.249, 0.547, 0.375], [0.751, 0.633, 0.217], [0.249, 0.958, 0.584], [0.751, 0.042, 0.416]]}

=====

Copy entry 2 word for word.
{"formula": "Cd2InPt", "functional": "PBE", "state": "optimized geometry", "delta_e_f_ev_per_atom": -0.074, "energy_ev_per_atom": -2.7262, "space_group": "I-42d (122)", "lattice": [[8.612, 0.000, 0.000], [0.000, 8.612, 0.000], [4.306, 4.306, 2.659]], "species": ["In", "In", "Cd", "Cd", "Cd", "Cd", "Pt", "Pt"], "fractional_positions": [[0.500, 0.500, 0.000], [0.250, 0.750, 0.500], [0.696, 0.125, 0.250], [0.375, 0.304, 0.750], [0.875, 0.946, 0.750], [0.054, 0.625, 0.250], [0.000, 0.000, 0.000], [0.750, 0.250, 0.500]]}